No. 1
Below is a geometry-optimized Ca2DyGa3Au12 structure, with properties calculated at the GGA-PBE level.

Calculated values
Calculated volume   23.04 Å³ per atom
Calculated total energy   -3.4551 eV/atom
Space group   No. 166
ΔH_f (0 K)   -0.29 eV/atom
Crystal system   trigonal
Density of states at the Fermi level   6.3 states/eV per cell

a b c (Å): 10.7574 10.7574 10.7574
angles (deg): 37.55 37.55 37.55
Element x y z (fractional)
Ca1 0.6372 0.6372 0.6372
Ca2 0.3628 0.3628 0.3628
Dy1 0.0000 0.0000 0.0000
Ga1 0.5000 0.0000 0.0000
Ga2 0.0000 0.5000 0.0000
Ga3 0.0000 0.0000 0.5000
Au1 0.4097 0.4097 0.8155
Au2 0.8656 0.8656 0.4400
Au3 0.4400 0.8656 0.8656
Au4 0.8155 0.4097 0.4097
Au5 0.8656 0.4400 0.8656
Au6 0.4097 0.8155 0.4097
Au7 0.5903 0.5903 0.1845
Au8 0.1344 0.1344 0.5600
Au9 0.5600 0.1344 0.1344
Au10 0.1845 0.5903 0.5903
Au11 0.1344 0.5600 0.1344
Au12 0.5903 0.1845 0.5903

=====

No. 2
Below is a geometry-optimized CaDyGeAu structure, with properties calculated at the GGA-PBE level.

Calculated values
Calculated volume   23.43 Å³ per atom
Calculated total energy   -4.3879 eV/atom
Space group   No. 216
ΔH_f (0 K)   -0.76 eV/atom
Crystal system   cubic
Density of states at the Fermi level   1.4 states/eV per cell

a b c (Å): 5.0985 5.0985 5.0985
angles (deg): 60.00 60.00 60.00
Element x y z (fractional)
Ge1 0.0000 0.0000 0.0000
Au1 0.5000 0.5000 0.5000
Ca1 0.2500 0.2500 0.2500
Dy1 0.7500 0.7500 0.7500

=====

No. 3
Below is a geometry-optimized CaDy2HgAu4 structure, with properties calculated at the GGA-PBE level.

Calculated values
Calculated volume   22.43 Å³ per atom
Calculated total energy   -3.7990 eV/atom
Space group   No. 166
ΔH_f (0 K)   -0.72 eV/atom
Crystal system   trigonal
Density of states at the Fermi level   4.5 states/eV per cell

a b c (Å): 5.0175 5.0175 8.7238
angles (deg): 73.29 73.29 60.00
Element x y z (fractional)
Ca1 0.0000 0.0000 0.0000
Dy1 0.7576 0.7576 0.7273
Dy2 0.2424 0.2424 0.2727
Hg1 0.5000 0.5000 0.5000
Au1 0.3691 0.3691 0.8928
Au2 0.8796 0.8796 0.3611
Au3 0.1204 0.1204 0.6389
Au4 0.6309 0.6309 0.1072

=====

- Look up the ΔH_f (0 K) of the first one.
  -0.29 eV/atom

=====

- Which of these has the highest density of states at the Fermi level?
  Ca2DyGa3Au12

=====

- Which of these has the highest calculated volume?
  CaDyGeAu

=====

- Look up the calculated total energy of the second one.
  -4.3879 eV/atom